[1]
A crystal of Al6CuP4H16O28 relaxed with PBEsol, computed with SCAN.

Unit cell a=7.3825 b=7.6150 c=9.8698 alpha=67.78 beta=69.51 gamma=65.04
Space group P-1 (No. 2)
Symmetry-distinct sites (fractional):
Al  0.2097  0.3291  0.2494
Al  0.2563  0.9987  0.7582
Al  0.2617  0.6811  0.2734
Cu  0.5000  0.5000  0.0000
P  0.1508  0.1176  0.0552
P  0.3372  0.8859  0.4636
H  0.0703  0.1968  0.5688
H  0.0876  0.4095  0.6647
H  0.1537  0.6129  0.5880
H  0.1562  0.6947  0.0441
H  0.3282  0.3272  0.4608
H  0.3487  0.3463  0.8186
H  0.3683  0.5712  0.7372
H  0.4889  0.8427  0.9205
O  0.0351  0.2095  0.6724
O  0.0752  0.5375  0.6815
O  0.0768  0.8677  0.9073
O  0.1643  0.2847  0.0965
O  0.1957  0.0983  0.4004
O  0.2336  0.1493  0.8832
O  0.2360  0.5888  0.1225
O  0.2693  0.4211  0.3734
O  0.2839  0.7261  0.4383
O  0.2878  0.9122  0.1335
O  0.2986  0.8383  0.6359
O  0.4350  0.1355  0.6085
O  0.4357  0.4307  0.7944
O  0.4895  0.7813  0.8481

Values from the calculation:
* spin magnetization: 0.99 μB per formula unit
* raw total energy: -8.159 eV per atom
* DOS(E_F): 0.000 states/eV/atom

***

[2]
A crystal of Hf2Al2Cu relaxed with PBEsol, computed with SCAN.

Unit cell a=6.3230 b=6.3230 c=4.3003 alpha=90.00 beta=90.00 gamma=90.00
Space group P4/mbm (No. 127)
Symmetry-distinct sites (fractional):
Hf  0.1648  0.3352  0.0000
Al  0.1419  0.6419  0.5000
Cu  0.0000  0.0000  0.5000

Values from the calculation:
* E_form: -0.363 eV/atom
* spin magnetization: 0.00 μB per formula unit
* raw total energy: -31.573 eV per atom
* DOS(E_F): 0.417 states/eV/atom

***

[3]
A crystal of HfAl3Cu relaxed with PBEsol, computed with SCAN.

Unit cell a=4.4667 b=4.4667 c=4.4667 alpha=90.00 beta=90.00 gamma=90.00
Space group Pm-3m (No. 221)
Symmetry-distinct sites (fractional):
Hf  0.0000  0.0000  0.0000
Al  0.0000  0.5000  0.5000
Cu  0.5000  0.5000  0.5000

Values from the calculation:
* E_form: 0.213 eV/atom
* spin magnetization: 0.00 μB per formula unit
* raw total energy: -20.013 eV per atom
* DOS(E_F): 0.504 states/eV/atom

***

[4]
A crystal of HfAlCu relaxed with PBEsol, computed with SCAN.

Unit cell a=8.2004 b=5.1820 c=8.7715 alpha=90.00 beta=90.00 gamma=90.00
Space group Amm2 (No. 38)
Symmetry-distinct sites (fractional):
Hf  0.1803  0.0000  0.0000
Hf  0.3025  0.0000  0.6685
Al  0.2373  0.0000  0.3303
Al  0.5000  0.2426  0.9269
Cu  0.0000  0.0000  0.5059
Cu  0.0000  0.2391  0.7474
Cu  0.5000  0.0000  0.1706

Values from the calculation:
* E_form: -0.397 eV/atom
* spin magnetization: 0.74 μB per formula unit
* raw total energy: -28.939 eV per atom
* DOS(E_F): 0.725 states/eV/atom

***

[5]
A crystal of HfAlCu2 relaxed with PBEsol, computed with SCAN.

Unit cell a=6.1290 b=6.1290 c=6.1290 alpha=90.00 beta=90.00 gamma=90.00
Space group Fm-3m (No. 225)
Symmetry-distinct sites (fractional):
Hf  0.0000  0.0000  0.0000
Al  0.0000  0.0000  0.5000
Cu  0.2500  0.2500  0.2500

Values from the calculation:
* E_form: -0.424 eV/atom
* spin magnetization: 0.00 μB per formula unit
* raw total energy: -25.630 eV per atom
* DOS(E_F): 0.292 states/eV/atom

***

[6]
A crystal of Hf2Al3Cu relaxed with PBEsol, computed with SCAN.

Unit cell a=5.2206 b=5.2206 c=12.3380 alpha=90.00 beta=90.00 gamma=120.00
Space group R-3m (No. 166, hexagonal axes)
Symmetry-distinct sites (fractional):
Hf  0.0000  0.0000  0.1249
Al  0.0000  0.5000  0.0000
Cu  0.0000  0.0000  0.5000

Values from the calculation:
* E_form: -0.495 eV/atom
* spin magnetization: 0.06 μB per formula unit
* raw total energy: -27.795 eV per atom
* DOS(E_F): 0.816 states/eV/atom

***

[7]
A crystal of HfAlCuRe2 relaxed with PBEsol, computed with SCAN.

Unit cell a=4.7136 b=4.7136 c=4.9448 alpha=90.00 beta=90.00 gamma=90.00
Space group P4/mmm (No. 123)
Symmetry-distinct sites (fractional):
Hf  0.0000  0.0000  0.0000
Al  0.0000  0.0000  0.5000
Cu  0.5000  0.5000  0.5000
Re  0.0000  0.5000  0.0000

Values from the calculation:
* E_form: 2.322 eV/atom
* spin magnetization: 0.29 μB per formula unit
* raw total energy: -43.242 eV per atom
* DOS(E_F): 0.790 states/eV/atom

***

[8]
A crystal of Hf2AlCuS relaxed with PBEsol, computed with SCAN.

Unit cell a=4.8558 b=4.8558 c=4.2128 alpha=90.00 beta=90.00 gamma=90.00
Space group P4/mmm (No. 123)
Symmetry-distinct sites (fractional):
Hf  0.0000  0.5000  0.0000
Al  0.0000  0.0000  0.5000
Cu  0.0000  0.0000  0.0000
S  0.5000  0.5000  0.5000

Values from the calculation:
* ΔE_f (raw): 0.2895 eV per atom
* spin magnetization: 0.00 μB per formula unit
* raw total energy: -31.296 eV per atom
* DOS(E_F): 0.759 states/eV/atom